# 1
VASP calculation (GGA-PBE) on a relaxed structure of FeAg2SbP.

```
FeAg2SbP
1.0
-4.505 -1.840 -1.236
0.409 -2.918 2.854
-2.159 3.011 3.388
Fe Ag P Sb
1 2 1 1
Direct
0.000 0.000 0.000
0.000 0.000 0.500
0.500 0.000 0.000
0.000 0.500 0.000
0.500 0.500 0.500
```

Results
As for the size of the total moment: 1.29 Bohr magnetons per cell. The calculation puts the uncorrected formation energy at 0.49 eV/atom. For the energy above the most stable polymorph in this dataset, the calculation gives 0.000 eV/atom. As for the calculated volume: 103.4 Å³/f.u. Its space group is P4/mmm, No. 123.

=====

# 2
VASP calculation (GGA-PBE) on a relaxed structure of BiAsOs2S.

```
BiAsOs2S
1.0
4.352 0.000 0.000
0.000 4.352 0.000
0.000 0.000 5.569
Os As Bi S
2 1 1 1
Direct
0.000 0.500 0.000
0.500 0.000 0.000
0.500 0.500 0.500
0.000 0.000 0.500
0.000 0.000 0.000
```

Results
As for the size of the total moment: 1.10 Bohr magnetons per cell. The calculation puts the uncorrected formation energy at 1.22 eV/atom. As for the calculated volume: 105.5 Å³/f.u. Its space group is P4/mmm, No. 123.

=====

# 3
VASP calculation (GGA-PBE) on a relaxed structure of Rb2BeInCl6.

```
Rb2BeInCl6
1.0
-6.786 -0.093 -2.282
1.902 -4.192 -5.485
-3.342 -6.271 -1.040
Cl Rb In Be
6 2 1 1
Direct
0.271 0.271 0.000
0.269 0.269 0.462
0.731 0.731 0.538
0.729 0.729 0.000
0.271 0.729 0.000
0.729 0.271 0.000
0.250 0.750 0.500
0.750 0.250 0.500
0.000 0.000 0.000
0.500 0.500 0.000
```

Results
As for the size of the total moment: 0.00 Bohr magnetons per cell. The calculation puts the uncorrected formation energy at -1.36 eV/atom. As for the calculated volume: 261.1 Å³/f.u. Its space group is I4/mmm, No. 139.

=====

# 4
VASP calculation (GGA-PBE) on a relaxed structure of Cd2AgCN.

```
Cd2AgCN
1.0
5.294 0.000 0.000
0.000 3.906 0.000
0.000 0.000 5.294
N C Ag Cd
1 1 1 2
Direct
0.500 0.500 0.500
0.000 0.500 0.000
0.000 0.000 0.000
0.000 0.000 0.500
0.500 0.000 0.000
```

Results
As for the size of the total moment: 1.95 Bohr magnetons per cell. The calculation puts the uncorrected formation energy at 1.98 eV/atom. As for the calculated volume: 109.5 Å³/f.u. Its space group is P4/mmm, No. 123.

=====

# 5
VASP calculation (GGA-PBE) on a relaxed structure of Y3ErTm2S6.

```
Y3ErTm2S6
1.0
6.725 -0.013 -0.001
-3.373 5.818 -0.001
-1.119 -1.938 6.356
Y Tm S Er
3 2 6 1
Direct
0.834 0.166 0.500
0.166 0.834 0.500
0.500 0.500 0.500
0.333 0.667 0.000
0.667 0.333 0.000
0.254 0.254 0.757
0.416 0.081 0.244
0.919 0.584 0.756
0.584 0.919 0.756
0.746 0.746 0.243
0.081 0.416 0.244
0.000 0.000 0.000
```

Results
As for the size of the total moment: 0.00 Bohr magnetons per cell. The calculation puts the uncorrected formation energy at -1.97 eV/atom. As for the calculated volume: 248.4 Å³/f.u. Its space group is C2/m, No. 12.

=====

# 6
VASP calculation (GGA-PBE) on a relaxed structure of Tb3Ga5Te12.

```
Tb3Ga5Te12
1.0
14.914 0.000 0.000
-4.971 14.061 0.000
-4.971 -7.031 12.177
Te Ga Tb
48 20 12
Direct
0.537 0.325 0.910
0.414 0.127 0.590
0.373 0.963 0.787
0.713 0.586 0.175
0.037 0.627 0.713
0.414 0.287 0.325
0.213 0.675 0.086
0.825 0.914 0.287
0.873 0.287 0.463
0.410 0.037 0.325
0.287 0.414 0.825
0.127 0.713 0.537
0.037 0.410 0.825
0.175 0.090 0.963
0.410 0.373 0.586
0.175 0.086 0.713
0.963 0.373 0.287
0.090 0.914 0.127
0.590 0.963 0.675
0.627 0.037 0.213
0.787 0.325 0.914
0.127 0.414 0.090
0.675 0.213 0.586
0.914 0.825 0.787
0.675 0.463 0.590
0.910 0.086 0.873
0.086 0.175 0.213
0.213 0.537 0.627
0.287 0.873 0.963
0.373 0.410 0.086
0.787 0.463 0.373
0.537 0.213 0.127
0.090 0.175 0.463
0.873 0.586 0.910
0.713 0.127 0.037
0.590 0.627 0.414
0.914 0.090 0.627
0.963 0.590 0.175
0.825 0.910 0.037
0.586 0.873 0.410
0.325 0.787 0.414
0.910 0.825 0.537
0.627 0.590 0.914
0.086 0.910 0.373
0.463 0.787 0.873
0.463 0.675 0.090
0.586 0.713 0.675
0.325 0.537 0.410
0.500 0.500 0.000
0.375 0.125 0.750
0.500 0.000 0.500
0.750 0.625 0.375
0.875 0.625 0.750
0.625 0.750 0.875
0.500 0.500 0.500
0.125 0.375 0.250
0.250 0.375 0.625
0.000 0.500 0.000
0.125 0.750 0.375
0.500 0.000 0.000
0.000 0.000 0.000
0.750 0.125 0.875
0.250 0.875 0.125
0.875 0.250 0.625
0.000 0.000 0.500
0.000 0.500 0.500
0.375 0.250 0.125
0.625 0.875 0.250
0.125 0.250 0.875
0.750 0.875 0.625
0.375 0.625 0.250
0.250 0.625 0.875
0.250 0.125 0.375
0.625 0.250 0.375
0.875 0.750 0.125
0.375 0.750 0.625
0.750 0.375 0.125
0.625 0.375 0.750
0.125 0.875 0.750
0.875 0.125 0.250
```

Results
As for the size of the total moment: 0.00 Bohr magnetons per cell. The calculation puts the uncorrected formation energy at -0.63 eV/atom. As for the calculated volume: 638.4 Å³/f.u. Its space group is Ia-3d, No. 230.

=====

# 7
VASP calculation (GGA-PBE) on a relaxed structure of FeTc2Ru.

```
FeTc2Ru
1.0
-0.546 -1.901 1.813
0.983 -1.865 -1.660
6.859 0.919 3.028
Tc Fe Ru
2 1 1
Direct
0.500 0.500 0.267
0.000 0.000 0.992
0.000 0.000 0.500
0.500 0.500 0.741
```

Results
As for the size of the total moment: 1.43 Bohr magnetons per cell. For the energy above the most stable polymorph in this dataset, the calculation gives 0.097 eV/atom. As for the calculated volume: 54.4 Å³/f.u. Its space group is P4mm, No. 99. As for the formation energy: 0.408 eV/f.u.

=====

# 8
VASP calculation (GGA-PBE) on a relaxed structure of V4Cr2Tc.

```
V4Cr2Tc
1.0
8.078 -0.096 1.736
-0.726 5.329 -1.170
-2.122 -3.304 4.705
V Cr Tc
8 4 2
Direct
0.375 0.212 0.814
0.760 0.008 0.713
0.312 0.067 0.216
0.875 0.538 0.686
0.491 0.743 0.787
0.868 0.057 0.177
0.382 0.694 0.323
0.939 0.683 0.284
0.625 0.375 0.250
0.625 0.875 0.250
0.125 0.375 0.750
0.625 0.375 0.750
0.083 0.140 0.952
0.167 0.609 0.548
```

Results
As for the size of the total moment: 0.00 Bohr magnetons per cell. For the energy above the most stable polymorph in this dataset, the calculation gives 0.083 eV/atom. As for the calculated volume: 97.3 Å³/f.u. Its space group is P-1, No. 2. As for the formation energy: 1.857 eV/f.u.

=====

What did the fourth record say?
VASP calculation (GGA-PBE) on a relaxed structure of Cd2AgCN.

```
Cd2AgCN
1.0
5.294 0.000 0.000
0.000 3.906 0.000
0.000 0.000 5.294
N C Ag Cd
1 1 1 2
Direct
0.500 0.500 0.500
0.000 0.500 0.000
0.000 0.000 0.000
0.000 0.000 0.500
0.500 0.000 0.000
```

Results
As for the size of the total moment: 1.95 Bohr magnetons per cell. The calculation puts the uncorrected formation energy at 1.98 eV/atom. As for the calculated volume: 109.5 Å³/f.u. Its space group is P4/mmm, No. 123.

=====

What is the formula in the sixth record?
Tb3Ga5Te12

=====

Which value of calculated volume does entry 6 give?
638.4 Å³/f.u.